(1)
{
  "formula": "NaScCoSe3",
  "functional": "PBE",
  "state": "relaxed",
  "lattice_angstrom": [[1.015, 5.877, 3.766], [-2.741, 5.626, 3.253], [-0.816, -5.368, 8.597]],
  "species": ["Se", "Se", "Se", "Se", "Se", "Se", "Na", "Na", "Co", "Co", "Sc", "Sc"],
  "fractional_positions": [[0.632, 0.632, 0.934], [0.632, 0.632, 0.566], [0.368, 0.368, 0.434], [0.368, 0.368, 0.066], [0.921, 0.921, 0.750], [0.079, 0.079, 0.250], [0.757, 0.757, 0.250], [0.243, 0.243, 0.750], [0.474, 0.474, 0.250], [0.526, 0.526, 0.750], [0.000, 0.000, 0.500], [0.000, 0.000, 0.000]],
  "e_above_lowest_polymorph_mev_per_atom": 25,
  "sg": "Cmcm (63)"
}

---

(2)
{
  "formula": "NaScCoSe3",
  "functional": "PBE",
  "state": "relaxed",
  "lattice_angstrom": [[10.226, 0.000, 0.000], [0.000, 3.820, 0.000], [0.000, 0.000, 13.286]],
  "species": ["Co", "Co", "Co", "Co", "Se", "Se", "Se", "Se", "Se", "Se", "Se", "Se", "Se", "Se", "Se", "Se", "Sc", "Sc", "Sc", "Sc", "Na", "Na", "Na", "Na"],
  "fractional_positions": [[0.736, 0.500, 0.720], [0.764, 0.000, 0.220], [0.236, 0.500, 0.780], [0.264, 0.000, 0.280], [0.049, 0.500, 0.884], [0.921, 0.500, 0.613], [0.451, 0.000, 0.384], [0.079, 0.000, 0.387], [0.735, 0.000, 0.828], [0.421, 0.500, 0.887], [0.765, 0.500, 0.328], [0.265, 0.500, 0.172], [0.951, 0.000, 0.116], [0.235, 0.000, 0.672], [0.579, 0.000, 0.113], [0.549, 0.500, 0.616], [0.016, 0.500, 0.252], [0.484, 0.000, 0.752], [0.984, 0.000, 0.748], [0.516, 0.500, 0.248], [0.267, 0.500, 0.494], [0.767, 0.500, 0.006], [0.233, 0.000, 0.994], [0.733, 0.000, 0.506]],
  "e_above_lowest_polymorph_mev_per_atom": 28,
  "sg": "Pnma (62)"
}

---

(3)
{
  "formula": "NaScCoSe3",
  "functional": "PBE",
  "state": "relaxed",
  "lattice_angstrom": [[8.067, 0.000, 0.000], [0.000, 3.803, 0.000], [-2.699, 0.000, 8.824]],
  "species": ["Sc", "Sc", "Se", "Se", "Se", "Se", "Se", "Se", "Co", "Co", "Na", "Na"],
  "fractional_positions": [[0.827, 0.250, 0.356], [0.173, 0.750, 0.644], [0.059, 0.750, 0.340], [0.409, 0.250, 0.645], [0.591, 0.750, 0.355], [0.281, 0.750, 0.964], [0.719, 0.250, 0.036], [0.941, 0.250, 0.660], [0.577, 0.750, 0.094], [0.423, 0.250, 0.906], [0.706, 0.750, 0.742], [0.294, 0.250, 0.258]],
  "e_above_lowest_polymorph_mev_per_atom": 0,
  "sg": "P2_1/m (11)"
}

---

(4)
{
  "formula": "NaScTaCo",
  "functional": "PBE",
  "state": "relaxed",
  "lattice_angstrom": [[0.000, 3.223, 3.223], [3.223, 0.000, 3.223], [3.223, 3.223, 0.000]],
  "species": ["Co", "Sc", "Na", "Ta"],
  "fractional_positions": [[0.250, 0.250, 0.250], [0.000, 0.000, 0.000], [0.750, 0.750, 0.750], [0.500, 0.500, 0.500]],
  "e_above_lowest_polymorph_mev_per_atom": 0,
  "sg": "F-43m (216)"
}

---

(5)
{
  "formula": "NaScCoTe3",
  "functional": "PBE",
  "state": "relaxed",
  "lattice_angstrom": [[-4.214, -4.214, 5.156], [-2.776, -6.918, 2.557], [8.463, -1.203, 5.934]],
  "species": ["Sc", "Sc", "Te", "Te", "Te", "Te", "Te", "Te", "Co", "Co", "Na", "Na"],
  "fractional_positions": [[0.000, 0.000, 0.500], [0.000, 0.000, 0.000], [0.087, 0.087, 0.250], [0.913, 0.913, 0.750], [0.371, 0.371, 0.427], [0.371, 0.371, 0.073], [0.629, 0.629, 0.573], [0.629, 0.629, 0.927], [0.516, 0.516, 0.750], [0.484, 0.484, 0.250], [0.245, 0.245, 0.750], [0.755, 0.755, 0.250]],
  "e_above_lowest_polymorph_mev_per_atom": 0,
  "sg": "Cmcm (63)"
}

---

(6)
{
  "formula": "NaScCoTe3",
  "functional": "PBE",
  "state": "relaxed",
  "lattice_angstrom": [[-5.247, -8.502, 4.224], [3.446, -1.275, 1.713], [-2.982, 7.648, 11.691]],
  "species": ["Co", "Co", "Co", "Co", "Na", "Na", "Na", "Na", "Te", "Te", "Te", "Te", "Te", "Te", "Te", "Te", "Te", "Te", "Te", "Te", "Sc", "Sc", "Sc", "Sc"],
  "fractional_positions": [[0.749, 0.500, 0.721], [0.251, 0.000, 0.279], [0.249, 0.500, 0.779], [0.751, 0.000, 0.221], [0.255, 0.500, 0.488], [0.245, 0.000, 0.988], [0.755, 0.500, 0.012], [0.745, 0.000, 0.512], [0.752, 0.500, 0.330], [0.566, 0.000, 0.110], [0.060, 0.500, 0.886], [0.434, 0.500, 0.890], [0.252, 0.500, 0.170], [0.248, 0.000, 0.670], [0.440, 0.000, 0.386], [0.066, 0.000, 0.390], [0.934, 0.500, 0.610], [0.940, 0.000, 0.114], [0.560, 0.500, 0.614], [0.748, 0.000, 0.830], [0.497, 0.000, 0.752], [0.997, 0.000, 0.748], [0.503, 0.500, 0.248], [0.003, 0.500, 0.252]],
  "e_above_lowest_polymorph_mev_per_atom": 3,
  "sg": "Pnma (62)"
}

---

(7)
{
  "formula": "NaTaCoSe3",
  "functional": "PBE",
  "state": "relaxed",
  "lattice_angstrom": [[1.758, -7.126, 0.000], [1.758, 7.126, 0.000], [0.000, 0.000, 9.545]],
  "species": ["Ta", "Ta", "Se", "Se", "Se", "Se", "Se", "Se", "Co", "Co", "Na", "Na"],
  "fractional_positions": [[0.000, 0.000, 0.000], [0.000, 0.000, 0.500], [0.631, 0.369, 0.939], [0.369, 0.631, 0.061], [0.083, 0.917, 0.250], [0.631, 0.369, 0.561], [0.369, 0.631, 0.439], [0.917, 0.083, 0.750], [0.475, 0.525, 0.250], [0.525, 0.475, 0.750], [0.244, 0.756, 0.750], [0.756, 0.244, 0.250]],
  "final_energy_ev_per_atom": -5.8171,
  "sg": "Cmcm (63)"
}

---

(8)
{
  "formula": "NaZrCoSe3",
  "functional": "PBE",
  "state": "relaxed",
  "lattice_angstrom": [[10.003, 0.000, 0.000], [0.000, 3.743, 0.000], [0.000, 0.000, 13.795]],
  "species": ["Se", "Se", "Se", "Se", "Se", "Se", "Se", "Se", "Se", "Se", "Se", "Se", "Na", "Na", "Na", "Na", "Zr", "Zr", "Zr", "Zr", "Co", "Co", "Co", "Co"],
  "fractional_positions": [[0.453, 0.750, 0.618], [0.083, 0.750, 0.613], [0.770, 0.250, 0.667], [0.583, 0.750, 0.887], [0.270, 0.250, 0.833], [0.953, 0.750, 0.882], [0.547, 0.250, 0.382], [0.917, 0.250, 0.387], [0.047, 0.250, 0.118], [0.417, 0.250, 0.113], [0.230, 0.750, 0.333], [0.730, 0.750, 0.167], [0.227, 0.750, 0.005], [0.727, 0.750, 0.495], [0.273, 0.250, 0.505], [0.773, 0.250, 0.995], [0.976, 0.750, 0.253], [0.024, 0.250, 0.747], [0.476, 0.750, 0.247], [0.524, 0.250, 0.753], [0.266, 0.750, 0.724], [0.734, 0.250, 0.276], [0.234, 0.250, 0.224], [0.766, 0.750, 0.776]],
  "e_above_lowest_polymorph_mev_per_atom": 0,
  "sg": "Pnma (62)"
}

---

(9)
{
  "formula": "NaZrCoSe3",
  "functional": "PBE",
  "state": "relaxed",
  "lattice_angstrom": [[-4.810, 3.866, -3.810], [2.581, -2.380, 6.346], [5.890, 7.881, 0.560]],
  "species": ["Se", "Se", "Se", "Se", "Se", "Se", "Na", "Na", "Co", "Co", "Zr", "Zr"],
  "fractional_positions": [[0.634, 0.366, 0.071], [0.083, 0.917, 0.750], [0.917, 0.083, 0.250], [0.366, 0.634, 0.571], [0.634, 0.366, 0.429], [0.366, 0.634, 0.929], [0.754, 0.246, 0.750], [0.246, 0.754, 0.250], [0.479, 0.521, 0.750], [0.521, 0.479, 0.250], [0.000, 0.000, 0.000], [0.000, 0.000, 0.500]],
  "e_above_lowest_polymorph_mev_per_atom": 7,
  "sg": "Cmcm (63)"
}

---

(10)
{
  "formula": "NaCo3Si5",
  "functional": "PBE",
  "state": "relaxed",
  "lattice_angstrom": [[4.798, 0.000, 0.000], [-2.399, 4.155, 0.000], [0.000, 0.000, 6.079]],
  "species": ["Si", "Si", "Si", "Si", "Si", "Co", "Co", "Co", "Na"],
  "fractional_positions": [[0.000, 0.000, 0.500], [0.333, 0.667, 0.804], [0.667, 0.333, 0.196], [0.333, 0.667, 0.196], [0.667, 0.333, 0.804], [0.000, 0.500, 0.500], [0.500, 0.500, 0.500], [0.500, 0.000, 0.500], [0.000, 0.000, 0.000]],
  "final_energy_ev_per_atom": -5.6844,
  "sg": "P6/mmm (191)"
}

---

(11)
{
  "formula": "NaCoSiSn",
  "functional": "PBE",
  "state": "relaxed",
  "lattice_angstrom": [[-2.974, -2.898, -1.713], [-2.982, -2.012, 2.690], [-4.345, 1.115, -0.233]],
  "species": ["Na", "Co", "Si", "Sn"],
  "fractional_positions": [[0.750, 0.750, 0.750], [0.250, 0.250, 0.250], [0.500, 0.500, 0.500], [0.000, 0.000, 0.000]],
  "e_above_lowest_polymorph_mev_per_atom": 0,
  "sg": "F-43m (216)"
}

---

(12)
{
  "formula": "NaCoSiSn",
  "functional": "PBE",
  "state": "relaxed",
  "lattice_angstrom": [[0.000, 3.268, 3.268], [3.268, 0.000, 3.268], [3.268, 3.268, 0.000]],
  "species": ["Co", "Sn", "Na", "Si"],
  "fractional_positions": [[0.500, 0.500, 0.500], [0.000, 0.000, 0.000], [0.750, 0.750, 0.750], [0.250, 0.250, 0.250]],
  "e_above_lowest_polymorph_mev_per_atom": 263,
  "sg": "F-43m (216)"
}

---

(13)
{
  "formula": "NaCoSiSn",
  "functional": "PBE",
  "state": "relaxed",
  "lattice_angstrom": [[-3.928, -2.259, 0.860], [-2.700, 1.319, 3.498], [-4.057, 2.021, -0.854]],
  "species": ["Co", "Si", "Na", "Sn"],
  "fractional_positions": [[0.000, 0.000, 0.000], [0.500, 0.500, 0.500], [0.750, 0.750, 0.750], [0.250, 0.250, 0.250]],
  "e_above_lowest_polymorph_mev_per_atom": 255,
  "sg": "F-43m (216)"
}

---

(14)
{
  "formula": "NaCo3Sn5",
  "functional": "PBE",
  "state": "relaxed",
  "lattice_angstrom": [[5.249, 0.000, 0.000], [-2.625, 4.546, 0.000], [0.000, 0.000, 7.782]],
  "species": ["Sn", "Sn", "Sn", "Sn", "Sn", "Na", "Co", "Co", "Co"],
  "fractional_positions": [[0.333, 0.667, 0.223], [0.667, 0.333, 0.777], [0.333, 0.667, 0.777], [0.000, 0.000, 0.500], [0.667, 0.333, 0.223], [0.000, 0.000, 0.000], [0.500, 0.000, 0.500], [0.000, 0.500, 0.500], [0.500, 0.500, 0.500]],
  "final_energy_ev_per_atom": -4.8030,
  "sg": "P6/mmm (191)"
}

---

(15)
{
  "formula": "NaTbCoTe3",
  "functional": "PBE",
  "state": "relaxed",
  "lattice_angstrom": [[9.126, 0.000, 0.000], [0.000, 4.186, 0.000], [-2.624, 0.000, 9.352]],
  "species": ["Na", "Na", "Te", "Te", "Te", "Te", "Te", "Te", "Tb", "Tb", "Co", "Co"],
  "fractional_positions": [[0.307, 0.250, 0.790], [0.693, 0.750, 0.210], [0.060, 0.750, 0.820], [0.297, 0.750, 0.484], [0.418, 0.250, 0.149], [0.703, 0.250, 0.516], [0.582, 0.750, 0.851], [0.940, 0.250, 0.180], [0.825, 0.250, 0.851], [0.175, 0.750, 0.149], [0.420, 0.250, 0.417], [0.580, 0.750, 0.583]],
  "e_above_lowest_polymorph_mev_per_atom": 0,
  "sg": "P2_1/m (11)"
}

---

(16)
{
  "formula": "NaTbCoTe3",
  "functional": "PBE",
  "state": "relaxed",
  "lattice_angstrom": [[7.409, -2.077, 0.000], [7.409, 2.077, 0.000], [0.000, 0.000, 11.213]],
  "species": ["Co", "Co", "Te", "Te", "Te", "Te", "Te", "Te", "Tb", "Tb", "Na", "Na"],
  "fractional_positions": [[0.476, 0.476, 0.250], [0.524, 0.524, 0.750], [0.917, 0.917, 0.750], [0.639, 0.639, 0.923], [0.083, 0.083, 0.250], [0.639, 0.639, 0.577], [0.361, 0.361, 0.423], [0.361, 0.361, 0.077], [0.000, 0.000, 0.000], [0.000, 0.000, 0.500], [0.242, 0.242, 0.750], [0.758, 0.758, 0.250]],
  "e_above_lowest_polymorph_mev_per_atom": 28,
  "sg": "Cmcm (63)"
}

---

(17)
{
  "formula": "NaTbCoTe3",
  "functional": "PBE",
  "state": "relaxed",
  "lattice_angstrom": [[-1.310, 6.607, -9.941], [2.037, -3.030, -2.282], [-11.106, -5.710, -2.331]],
  "species": ["Te", "Te", "Te", "Te", "Te", "Te", "Te", "Te", "Te", "Te", "Te", "Te", "Tb", "Tb", "Tb", "Tb", "Co", "Co", "Co", "Co", "Na", "Na", "Na", "Na"],
  "fractional_positions": [[0.211, 0.000, 0.188], [0.397, 0.000, 0.932], [0.447, 0.500, 0.367], [0.897, 0.000, 0.568], [0.289, 0.500, 0.688], [0.947, 0.500, 0.133], [0.603, 0.500, 0.068], [0.789, 0.500, 0.812], [0.553, 0.000, 0.633], [0.711, 0.000, 0.312], [0.103, 0.500, 0.432], [0.053, 0.000, 0.867], [0.528, 0.500, 0.805], [0.028, 0.500, 0.695], [0.472, 0.000, 0.195], [0.972, 0.000, 0.305], [0.747, 0.000, 0.714], [0.247, 0.000, 0.786], [0.253, 0.500, 0.286], [0.753, 0.500, 0.214], [0.200, 0.500, 0.991], [0.300, 0.000, 0.491], [0.800, 0.000, 0.009], [0.700, 0.500, 0.509]],
  "e_above_lowest_polymorph_mev_per_atom": 60,
  "sg": "Pnma (62)"
}

---

(18)
{
  "formula": "NaCoTe",
  "functional": "PBE",
  "state": "relaxed",
  "lattice_angstrom": [[0.000, 3.155, 3.155], [3.155, 0.000, 3.155], [3.155, 3.155, 0.000]],
  "species": ["Te", "Na", "Co"],
  "fractional_positions": [[0.750, 0.750, 0.750], [0.250, 0.250, 0.250], [0.000, 0.000, 0.000]],
  "e_above_lowest_polymorph_mev_per_atom": 0,
  "sg": "F-43m (216)"
}

---

(19)
{
  "formula": "NaCoTe",
  "functional": "PBE",
  "state": "relaxed",
  "lattice_angstrom": [[-1.902, 3.158, 2.867], [-2.459, 3.563, -1.752], [-4.633, 0.145, 0.572]],
  "species": ["Te", "Co", "Na"],
  "fractional_positions": [[0.750, 0.750, 0.750], [0.250, 0.250, 0.250], [0.000, 0.000, 0.000]],
  "e_above_lowest_polymorph_mev_per_atom": 566,
  "sg": "F-43m (216)"
}

---

(20)
{
  "formula": "NaTmCoTe3",
  "functional": "PBE",
  "state": "relaxed",
  "lattice_angstrom": [[-0.283, -3.579, 2.117], [3.840, -5.610, -8.972], [13.417, 1.705, 4.677]],
  "species": ["Tm", "Tm", "Tm", "Tm", "Te", "Te", "Te", "Te", "Te", "Te", "Te", "Te", "Te", "Te", "Te", "Te", "Na", "Na", "Na", "Na", "Co", "Co", "Co", "Co"],
  "fractional_positions": [[0.750, 0.513, 0.748], [0.250, 0.487, 0.252], [0.250, 0.987, 0.248], [0.750, 0.013, 0.752], [0.250, 0.238, 0.170], [0.750, 0.918, 0.107], [0.750, 0.762, 0.830], [0.250, 0.082, 0.893], [0.250, 0.940, 0.611], [0.750, 0.262, 0.670], [0.250, 0.738, 0.330], [0.750, 0.060, 0.389], [0.250, 0.582, 0.607], [0.750, 0.560, 0.111], [0.750, 0.418, 0.393], [0.250, 0.440, 0.889], [0.250, 0.736, 0.010], [0.750, 0.264, 0.990], [0.250, 0.236, 0.490], [0.750, 0.764, 0.510], [0.250, 0.759, 0.721], [0.250, 0.259, 0.779], [0.750, 0.741, 0.221], [0.750, 0.241, 0.279]],
  "final_energy_ev_per_atom": -4.4612,
  "sg": "Pnma (62)"
}